Entry w
Below is a relaxed structure of NiAs3, with properties calculated at the GGA-PBE level.

Properties
As for the space group: No. 65. The calculated volume comes out at 16.84 A^3/atom. The total moment comes out at 0.0 μB per cell.

abc: 4.516 4.516 3.408
angles: 90.00 90.00 104.20
Fractional positions:
As1 0.500 0.000 0.500
As2 0.500 0.500 0.000
As3 0.000 0.500 0.500
Ni1 0.000 0.000 0.000

=====

Entry x
Below is a relaxed structure of NiAs3, with properties calculated at the GGA-PBE level.

Properties
As for the space group: No. 123. The calculated volume comes out at 16.68 A^3/atom. The total moment comes out at 0.0 μB per cell.

abc: 4.768 4.768 2.935
angles: 90.00 90.00 90.00
Fractional positions:
As1 0.500 0.500 0.000
As2 0.000 0.000 0.000
As3 0.500 0.000 0.500
Ni1 0.000 0.500 0.500

=====

Least stable of them? entry x.

=====

Entry w
Below is a relaxed structure of NiAs3, with properties calculated at the GGA-PBE level.

Properties
As for the space group: No. 182. The calculated volume comes out at 17.43 A^3/atom. The total moment comes out at 0.0 μB per cell.

abc: 4.462 6.007 6.007
angles: 120.00 90.00 90.00
Fractional positions:
Ni1 0.224 0.667 0.333
Ni2 0.724 0.333 0.667
As1 0.474 0.000 0.304
As2 0.974 0.696 0.000
As3 0.974 0.304 0.304
As4 0.974 0.000 0.696
As5 0.474 0.304 0.000
As6 0.474 0.696 0.696

=====

Entry x
Below is a relaxed structure of NiAs3, with properties calculated at the GGA-PBE level.

Properties
As for the space group: No. 10. The calculated volume comes out at 17.42 A^3/atom. The total moment comes out at 0.0 μB per cell.

abc: 2.931 2.800 9.886
angles: 59.21 90.00 90.00
Fractional positions:
Ni1 0.500 0.250 0.250
As1 0.000 0.388 0.438
As2 0.000 0.112 0.062
As3 0.500 0.750 0.750

=====

Entry y
Below is a relaxed structure of NiAs3, with properties calculated at the GGA-PBE level.

Properties
As for the space group: No. 194. The calculated volume comes out at 30.11 A^3/atom. The total moment comes out at 0.0 μB per cell.

abc: 8.605 8.605 3.755
angles: 90.00 90.00 120.00
Fractional positions:
As1 0.235 0.470 0.750
As2 0.235 0.765 0.750
As3 0.765 0.235 0.250
As4 0.470 0.235 0.250
As5 0.765 0.530 0.250
As6 0.530 0.765 0.750
Ni1 0.667 0.333 0.750
Ni2 0.333 0.667 0.250

=====

Entry z
Below is a relaxed structure of NiAs3, with properties calculated at the GGA-PBE level.

Properties
As for the space group: No. 63. The calculated volume comes out at 18.43 A^3/atom. The total moment comes out at 0.0 μB per cell.

abc: 5.403 5.403 5.057
angles: 90.00 90.00 93.26
Fractional positions:
As1 0.088 0.472 0.250
As2 0.988 0.012 0.250
As3 0.012 0.988 0.750
As4 0.472 0.088 0.750
As5 0.528 0.912 0.250
As6 0.912 0.528 0.750
Ni1 0.480 0.520 0.750
Ni2 0.520 0.480 0.250

=====

Least stable of them? entry z.

=====

Entry w
Below is a relaxed structure of NiAs3, with properties calculated at the GGA-PBE level.

Properties
As for the space group: No. 166. The calculated volume comes out at 17.03 A^3/atom. The total moment comes out at 0.0 μB per cell.

abc: 8.561 8.561 8.561
angles: 20.62 20.62 20.62
Fractional positions:
Ni1 0.000 0.000 0.000
As1 0.500 0.500 0.500
As2 0.734 0.734 0.734
As3 0.266 0.266 0.266

=====

Entry x
Below is a relaxed structure of NiAs3, with properties calculated at the GGA-PBE level.

Properties
As for the space group: No. 187. The calculated volume comes out at 17.41 A^3/atom. The total moment comes out at 0.0 μB per cell.

abc: 3.095 3.095 8.399
angles: 90.00 90.00 120.00
Fractional positions:
As1 0.000 0.000 0.549
As2 0.000 0.000 0.951
As3 0.667 0.333 0.250
Ni1 0.667 0.333 0.750

=====

Least stable of them? entry x.

=====

Entry w
Below is a relaxed structure of Ni4As3, with properties calculated at the GGA-PBE level.

Properties
As for the space group: No. 139. The calculated volume comes out at 14.76 A^3/atom. The total moment comes out at 0.0 μB per cell.

abc: 10.832 10.832 10.832
angles: 163.43 163.43 23.52
Fractional positions:
Ni1 0.877 0.877 0.000
Ni2 0.441 0.441 0.000
Ni3 0.123 0.123 0.000
Ni4 0.559 0.559 0.000
As1 0.000 0.000 0.000
As2 0.673 0.673 0.000
As3 0.327 0.327 0.000

=====

Entry x
Below is a relaxed structure of Ni4As3, with properties calculated at the GGA-PBE level.

Properties
As for the space group: No. 191. The calculated volume comes out at 14.82 A^3/atom. The total moment comes out at 0.9 μB per cell.

abc: 5.224 5.224 4.389
angles: 90.00 90.00 120.00
Each line ends with the local moment (μB).
Fractional positions:
Ni1 0.667 0.333 0.500  0.01
Ni2 0.000 0.000 0.254  0.46
Ni3 0.000 0.000 0.746  0.46
Ni4 0.333 0.667 0.500  0.01
As1 0.000 0.500 0.000  0.01
As2 0.500 0.500 0.000  0.01
As3 0.500 0.000 0.000  0.01

=====

Least stable of them? entry x.

=====

Entry w
Below is a relaxed structure of Ni13As2, with properties calculated at the GGA-PBE level.

Properties
As for the space group: No. 166. The calculated volume comes out at 13.56 A^3/atom. The total moment comes out at 4.4 μB per cell.

abc: 6.318 6.318 6.924
angles: 62.86 62.86 60.00
Each line ends with the local moment (μB).
Fractional positions:
Ni1 0.605 0.007 0.783  0.19
Ni2 0.007 0.605 0.783  0.19
Ni3 0.395 0.395 0.217  0.19
Ni4 0.395 0.993 0.217  0.19
Ni5 0.882 0.251 0.617  0.56
Ni6 0.749 0.118 0.383  0.56
Ni7 0.251 0.251 0.617  0.56
Ni8 0.605 0.605 0.783  0.19
Ni9 0.749 0.749 0.383  0.56
Ni10 0.993 0.395 0.217  0.19
Ni11 0.118 0.749 0.383  0.56
Ni12 0.251 0.882 0.617  0.56
Ni13 0.500 0.500 0.500  0.13
As1 0.636 0.636 0.093  0.00
As2 0.364 0.364 0.907  0.00

=====

Entry x
Below is a relaxed structure of Ni13As2, with properties calculated at the GGA-PBE level.

Properties
As for the space group: No. 2. The calculated volume comes out at 11.29 A^3/atom. The total moment comes out at 3.3 μB per cell.

abc: 4.345 6.202 7.448
angles: 121.96 94.13 91.37
Each line ends with the local moment (μB).
Fractional positions:
Ni1 0.799 0.216 0.808  0.33
Ni2 0.201 0.784 0.192  0.33
Ni3 0.727 0.926 0.397  0.15
Ni4 0.468 0.872 0.804  0.21
Ni5 0.532 0.128 0.196  0.21
Ni6 0.854 0.465 0.202  0.30
Ni7 0.273 0.074 0.603  0.15
Ni8 0.629 0.408 0.599  0.15
Ni9 0.000 0.000 0.000  0.17
Ni10 0.371 0.592 0.401  0.15
Ni11 0.332 0.336 0.002  0.49
Ni12 0.146 0.535 0.798  0.30
Ni13 0.668 0.664 0.998  0.49
As1 0.920 0.772 0.614  0.00
As2 0.080 0.228 0.386  0.00

=====

Least stable of them? entry w.

=====

Entry w
Below is a relaxed structure of Np3Ni2As4, with properties calculated at the GGA-PBE level.

Properties
As for the space group: No. 12. The calculated volume comes out at 19.87 A^3/atom. The total moment comes out at 11.1 μB per cell.

abc: 3.976 6.665 7.602
angles: 112.31 105.13 89.98
Each line ends with the local moment (μB).
Fractional positions:
As1 0.210 0.219 0.419  -0.07
As2 0.520 0.720 0.040  -0.07
As3 0.480 0.280 0.960  -0.07
As4 0.790 0.781 0.581  -0.07
Np1 0.000 0.000 0.000  3.52
Np2 0.865 0.423 0.730  3.75
Np3 0.135 0.577 0.270  3.75
Ni1 0.688 0.993 0.376  -0.13
Ni2 0.312 0.007 0.624  -0.13

=====

Entry x
Below is a relaxed structure of Np3Ni2As4, with properties calculated at the GGA-PBE level.

Properties
As for the space group: No. 12. The calculated volume comes out at 18.87 A^3/atom. The total moment comes out at 6.3 μB per cell.

abc: 3.936 6.507 8.569
angles: 123.82 90.00 107.60
Each line ends with the local moment (μB).
Fractional positions:
As1 0.303 0.607 0.901  -0.09
As2 0.697 0.393 0.099  -0.09
As3 0.914 0.828 0.613  -0.05
As4 0.086 0.172 0.387  -0.05
Np1 0.000 0.000 0.000  3.47
Np2 0.400 0.799 0.340  1.60
Np3 0.600 0.201 0.660  1.60
Ni1 0.685 0.370 0.367  -0.10
Ni2 0.315 0.630 0.633  -0.10

=====

Least stable of them? entry w.